(1)
DFT (PBE-GGA) results for a relaxed TmLuPdAu crystal.

Unit cell a=6.9902 b=6.9902 c=6.9902 alpha=90.00 beta=90.00 gamma=90.00
Fractional coordinates of all 16 atoms:
1 Tm 0.0000 0.0000 0.0000
2 Tm 0.0000 0.5000 0.5000
3 Tm 0.5000 0.0000 0.5000
4 Tm 0.5000 0.5000 0.0000
5 Lu 0.0000 0.0000 0.5000
6 Lu 0.0000 0.5000 0.0000
7 Lu 0.5000 0.0000 0.0000
8 Lu 0.5000 0.5000 0.5000
9 Pd 0.2500 0.2500 0.2500
10 Pd 0.2500 0.7500 0.7500
11 Pd 0.7500 0.2500 0.7500
12 Pd 0.7500 0.7500 0.2500
13 Au 0.2500 0.2500 0.7500
14 Au 0.2500 0.7500 0.2500
15 Au 0.7500 0.2500 0.2500
16 Au 0.7500 0.7500 0.7500

## Properties
Spin magnetization (μB per formula unit): 0.00
Energy of formation from the pure elements (eV per atom): -0.911


(2)
DFT (PBE-GGA) results for a relaxed LuZrPdAu crystal.

Unit cell a=6.8785 b=6.8785 c=6.8785 alpha=90.00 beta=90.00 gamma=90.00
Fractional coordinates of all 16 atoms:
1 Lu 0.0000 0.0000 0.0000
2 Lu 0.0000 0.5000 0.5000
3 Lu 0.5000 0.0000 0.5000
4 Lu 0.5000 0.5000 0.0000
5 Zr 0.0000 0.0000 0.5000
6 Zr 0.0000 0.5000 0.0000
7 Zr 0.5000 0.0000 0.0000
8 Zr 0.5000 0.5000 0.5000
9 Pd 0.2500 0.2500 0.2500
10 Pd 0.2500 0.7500 0.7500
11 Pd 0.7500 0.2500 0.7500
12 Pd 0.7500 0.7500 0.2500
13 Au 0.2500 0.2500 0.7500
14 Au 0.2500 0.7500 0.2500
15 Au 0.7500 0.2500 0.2500
16 Au 0.7500 0.7500 0.7500

## Properties
Spin magnetization (μB per formula unit): 0.00
Energy of formation from the pure elements (eV per atom): -0.688


(3)
DFT (PBE-GGA) results for a relaxed Pm2LuAu crystal.

Unit cell a=3.7189 b=3.7189 c=8.3010 alpha=90.00 beta=90.00 gamma=90.00
Fractional coordinates of all 4 atoms:
1 Pm 0.0000 0.0000 0.2158
2 Pm 0.0000 0.0000 0.7842
3 Lu 0.5000 0.5000 0.5000
4 Au 0.5000 0.5000 0.0000

## Properties
Energy above the most stable polymorph in this dataset (eV/atom): 0.000
Spin magnetization (μB per formula unit): 0.00
Energy of formation from the pure elements (eV per atom): -0.342


(4)
DFT (PBE-GGA) results for a relaxed Pm2LuAu crystal.

Unit cell a=3.5287 b=3.5287 c=34.4176 alpha=90.00 beta=90.00 gamma=120.00
Fractional coordinates of all 12 atoms:
1 Pm 0.0000 0.0000 0.0837
2 Pm 0.0000 0.0000 0.9163
3 Pm 0.3333 0.6667 0.5830
4 Pm 0.3333 0.6667 0.7503
5 Pm 0.6667 0.3333 0.2497
6 Pm 0.6667 0.3333 0.4170
7 Lu 0.0000 0.0000 0.5000
8 Lu 0.3333 0.6667 0.1667
9 Lu 0.6667 0.3333 0.8333
10 Au 0.0000 0.0000 0.0000
11 Au 0.3333 0.6667 0.6667
12 Au 0.6667 0.3333 0.3333

## Properties
Energy above the most stable polymorph in this dataset (eV/atom): 0.486
Spin magnetization (μB per formula unit): 0.00
Energy of formation from the pure elements (eV per atom): 0.144


(5)
DFT (PBE-GGA) results for a relaxed PmLuAu crystal.

Unit cell a=7.0591 b=7.0591 c=7.0591 alpha=90.00 beta=90.00 gamma=90.00
Fractional coordinates of all 12 atoms:
1 Pm 0.0000 0.0000 0.0000
2 Pm 0.0000 0.5000 0.5000
3 Pm 0.5000 0.0000 0.5000
4 Pm 0.5000 0.5000 0.0000
5 Lu 0.0000 0.0000 0.5000
6 Lu 0.0000 0.5000 0.0000
7 Lu 0.5000 0.0000 0.0000
8 Lu 0.5000 0.5000 0.5000
9 Au 0.2500 0.2500 0.7500
10 Au 0.2500 0.7500 0.2500
11 Au 0.7500 0.2500 0.2500
12 Au 0.7500 0.7500 0.7500

## Properties
Energy above the most stable polymorph in this dataset (eV/atom): 0.102
Spin magnetization (μB per formula unit): 0.00
Energy of formation from the pure elements (eV per atom): -0.433


(6)
DFT (PBE-GGA) results for a relaxed PmLuAu2 crystal.

Unit cell a=7.2337 b=7.2337 c=7.2337 alpha=90.00 beta=90.00 gamma=90.00
Fractional coordinates of all 16 atoms:
1 Pm 0.0000 0.0000 0.0000
2 Pm 0.0000 0.5000 0.5000
3 Pm 0.5000 0.0000 0.5000
4 Pm 0.5000 0.5000 0.0000
5 Lu 0.0000 0.0000 0.5000
6 Lu 0.0000 0.5000 0.0000
7 Lu 0.5000 0.0000 0.0000
8 Lu 0.5000 0.5000 0.5000
9 Au 0.2500 0.2500 0.2500
10 Au 0.2500 0.2500 0.7500
11 Au 0.2500 0.7500 0.2500
12 Au 0.2500 0.7500 0.7500
13 Au 0.7500 0.2500 0.2500
14 Au 0.7500 0.2500 0.7500
15 Au 0.7500 0.7500 0.2500
16 Au 0.7500 0.7500 0.7500

## Properties
Energy above the most stable polymorph in this dataset (eV/atom): 0.029
Spin magnetization (μB per formula unit): 0.00
Energy of formation from the pure elements (eV per atom): -0.818


Question: energy of formation from the pure elements of number 6 (PmLuAu2)?
Answer: -0.818 eV per atom